Entry 1:
A PBEsol-optimized structure of ZrReCl2, computed with SCAN.

Output
Excess energy over the best structure of this formula in the dataset: 88 meV per atom
Energy relative to the elements, uncorrected: -35.2 kJ/mol of atoms
Raw total energy: -29.803 eV/atom
Space-group type: P4mm

Unit cell a=2.9924 b=2.9924 c=8.2126 alpha=90.00 beta=90.00 gamma=90.00
Fractional coordinates of all 4 atoms:
1 Zr 0.0000 0.0000 0.0000
2 Re 0.5000 0.5000 0.7507
3 Cl 0.0000 0.0000 0.5698
4 Cl 0.5000 0.5000 0.2026



Entry 2:
A PBEsol-optimized structure of Zr4ReCl, computed with SCAN.

Output
Energy relative to the elements, uncorrected: 82.1 kJ/mol of atoms
Raw total energy: -32.795 eV/atom
Space-group type: F-43m

Unit cell a=5.5388 b=5.5388 c=5.5388 alpha=60.00 beta=60.00 gamma=60.00
Fractional coordinates of all 6 atoms:
1 Zr 0.3775 0.3775 0.3775
2 Zr 0.3775 0.3775 0.8674
3 Zr 0.3775 0.8674 0.3775
4 Zr 0.8674 0.3775 0.3775
5 Re 0.7500 0.7500 0.7500
6 Cl 0.0000 0.0000 0.0000



Entry 3:
A PBEsol-optimized structure of RhCl, computed with SCAN.

Output
Energy relative to the elements, uncorrected: 2.6 kJ/mol of atoms
Raw total energy: -20.848 eV/atom
Space-group type: Cm

Unit cell a=6.5691 b=6.5691 c=6.5662 alpha=119.55 beta=119.55 gamma=28.38
Fractional coordinates of all 6 atoms:
1 Rh 0.0000 0.0000 0.0000
2 Rh 0.0361 0.0361 0.3997
3 Rh 0.6676 0.6676 0.3091
4 Cl 0.2674 0.2674 0.2252
5 Cl 0.3575 0.3575 0.8223
6 Cl 0.5786 0.5786 0.6754



Entry 4:
A PBEsol-optimized structure of RhCl, computed with SCAN.

Output
Energy relative to the elements, uncorrected: 61.9 kJ/mol of atoms
Raw total energy: -20.233 eV/atom
Space-group type: Pm-3m

Unit cell a=3.0646 b=3.0646 c=3.0646 alpha=90.00 beta=90.00 gamma=90.00
Fractional coordinates of all 2 atoms:
1 Rh 0.0000 0.0000 0.0000
2 Cl 0.5000 0.5000 0.5000



Entry 5:
A PBEsol-optimized structure of RhCl2, computed with SCAN.

Output
Energy relative to the elements, uncorrected: 3.6 kJ/mol of atoms
Raw total energy: -16.539 eV/atom
Space-group type: I4/mmm

Unit cell a=6.2540 b=6.2540 c=6.2540 alpha=151.57 beta=151.57 gamma=40.64
Fractional coordinates of all 3 atoms:
1 Rh 0.0000 0.0000 0.0000
2 Cl 0.3766 0.3766 0.0000
3 Cl 0.6234 0.6234 0.0000



Entry 6:
A PBEsol-optimized structure of RhCl2, computed with SCAN.

Output
Energy relative to the elements, uncorrected: 93.0 kJ/mol of atoms
Raw total energy: -15.612 eV/atom
Space-group type: P6/mmm

Unit cell a=4.5398 b=4.5398 c=2.9265 alpha=90.00 beta=90.00 gamma=120.00
Fractional coordinates of all 3 atoms:
1 Rh 0.0000 0.0000 0.0000
2 Cl 0.3333 0.6667 0.5000
3 Cl 0.6667 0.3333 0.5000



Entry 7:
A PBEsol-optimized structure of Rh3Cl, computed with SCAN.

Output
Excess energy over the best structure of this formula in the dataset: 65 meV per atom
Energy relative to the elements, uncorrected: 57.2 kJ/mol of atoms
Raw total energy: -26.730 eV/atom
Space-group type: Pmm2

Unit cell a=2.7437 b=4.3630 c=4.6985 alpha=90.00 beta=90.00 gamma=90.00
Fractional coordinates of all 4 atoms:
1 Rh 0.0000 0.0000 0.0000
2 Rh 0.0000 0.5000 0.3905
3 Rh 0.5000 0.5000 0.8917
4 Cl 0.5000 0.0000 0.4531



Entry 8:
A PBEsol-optimized structure of RhCl7, computed with SCAN.

Output
Energy relative to the elements, uncorrected: 79.0 kJ/mol of atoms
Raw total energy: -10.383 eV/atom
Space-group type: Fm-3m

Unit cell a=5.9187 b=5.9187 c=5.9187 alpha=60.00 beta=60.00 gamma=60.00
Fractional coordinates of all 8 atoms:
1 Rh 0.0000 0.0000 0.0000
2 Cl 0.0000 0.0000 0.5000
3 Cl 0.0000 0.5000 0.0000
4 Cl 0.0000 0.5000 0.5000
5 Cl 0.5000 0.0000 0.0000
6 Cl 0.5000 0.0000 0.5000
7 Cl 0.5000 0.5000 0.0000
8 Cl 0.5000 0.5000 0.5000



Entry 9:
A PBEsol-optimized structure of Rh3Cl, computed with SCAN.

Output
Excess energy over the best structure of this formula in the dataset: 0 meV per atom
Energy relative to the elements, uncorrected: 50.9 kJ/mol of atoms
Raw total energy: -26.795 eV/atom
Space-group type: C2/m

Unit cell a=4.5122 b=4.5122 c=4.8723 alpha=103.64 beta=103.64 gamma=35.66
Fractional coordinates of all 4 atoms:
1 Rh 0.0000 0.0000 0.0000
2 Rh 0.2409 0.2409 0.7542
3 Rh 0.7591 0.7591 0.2458
4 Cl 0.5000 0.5000 0.5000



Entry 10:
A PBEsol-optimized structure of Rh3Cl, computed with SCAN.

Output
Excess energy over the best structure of this formula in the dataset: 183 meV per atom
Energy relative to the elements, uncorrected: 68.6 kJ/mol of atoms
Raw total energy: -26.612 eV/atom
Space-group type: R-3m

Unit cell a=4.9141 b=4.9141 c=4.9141 alpha=116.44 beta=116.44 gamma=116.44
Fractional coordinates of all 4 atoms:
1 Rh 0.0000 0.5000 0.5000
2 Rh 0.5000 0.0000 0.5000
3 Rh 0.5000 0.5000 0.0000
4 Cl 0.0000 0.0000 0.0000



Entry 11:
A PBEsol-optimized structure of Rh3Cl, computed with SCAN.

Output
Excess energy over the best structure of this formula in the dataset: 352 meV per atom
Energy relative to the elements, uncorrected: 84.9 kJ/mol of atoms
Raw total energy: -26.443 eV/atom
Space-group type: Pm-3m

Unit cell a=3.8354 b=3.8354 c=3.8354 alpha=90.00 beta=90.00 gamma=90.00
Fractional coordinates of all 4 atoms:
1 Rh 0.0000 0.0000 0.5000
2 Rh 0.0000 0.5000 0.0000
3 Rh 0.5000 0.0000 0.0000
4 Cl 0.5000 0.5000 0.5000



Entry 12:
A PBEsol-optimized structure of RuRhCl2, computed with SCAN.

Output
Excess energy over the best structure of this formula in the dataset: 0 meV per atom
Energy relative to the elements, uncorrected: 9.7 kJ/mol of atoms
Raw total energy: -21.038 eV/atom
Space-group type: C2/m

Unit cell a=5.6660 b=5.6660 c=4.6579 alpha=97.69 beta=97.69 gamma=29.89
Fractional coordinates of all 4 atoms:
1 Ru 0.0000 0.0000 0.0000
2 Rh 0.5000 0.5000 0.5000
3 Cl 0.3486 0.3486 0.7846
4 Cl 0.6514 0.6514 0.2154



Entry 13:
A PBEsol-optimized structure of RuRhCl, computed with SCAN.

Output
Energy relative to the elements, uncorrected: 107.7 kJ/mol of atoms
Raw total energy: -24.409 eV/atom
Space-group type: F-43m

Unit cell a=3.9479 b=3.9479 c=3.9479 alpha=60.00 beta=60.00 gamma=60.00
Fractional coordinates of all 3 atoms:
1 Ru 0.0000 0.0000 0.0000
2 Rh 0.5000 0.5000 0.5000
3 Cl 0.7500 0.7500 0.7500



Entry 14:
A PBEsol-optimized structure of RuRhCl2, computed with SCAN.

Output
Excess energy over the best structure of this formula in the dataset: 19 meV per atom
Energy relative to the elements, uncorrected: 11.5 kJ/mol of atoms
Raw total energy: -21.020 eV/atom
Space-group type: R3m

Unit cell a=8.8532 b=8.8532 c=8.8532 alpha=19.28 beta=19.28 gamma=19.28
Fractional coordinates of all 4 atoms:
1 Ru 0.0000 0.0000 0.0000
2 Rh 0.2587 0.2587 0.2587
3 Cl 0.5230 0.5230 0.5230
4 Cl 0.7345 0.7345 0.7345



Entry 15:
A PBEsol-optimized structure of SnRhSCl2, computed with SCAN.

Output
Energy relative to the elements, uncorrected: -28.1 kJ/mol of atoms
Raw total energy: -19.346 eV/atom
Space-group type: P4/mmm

Unit cell a=4.6522 b=4.6522 c=4.7192 alpha=90.00 beta=90.00 gamma=90.00
Fractional coordinates of all 5 atoms:
1 Sn 0.0000 0.0000 0.0000
2 Rh 0.5000 0.5000 0.5000
3 S 0.5000 0.5000 0.0000
4 Cl 0.0000 0.5000 0.5000
5 Cl 0.5000 0.0000 0.5000



Entry 16:
A PBEsol-optimized structure of TiRhSCl2, computed with SCAN.

Output
Energy relative to the elements, uncorrected: -20.5 kJ/mol of atoms
Raw total energy: -15.289 eV/atom
Space-group type: P4/mmm

Unit cell a=4.5691 b=4.5691 c=4.6983 alpha=90.00 beta=90.00 gamma=90.00
Fractional coordinates of all 5 atoms:
1 Ti 0.0000 0.0000 0.0000
2 Rh 0.5000 0.5000 0.5000
3 S 0.5000 0.5000 0.0000
4 Cl 0.0000 0.5000 0.5000
5 Cl 0.5000 0.0000 0.5000



Entry 17:
A PBEsol-optimized structure of YRhS2Cl, computed with SCAN.

Output
Energy relative to the elements, uncorrected: -33.9 kJ/mol of atoms
Raw total energy: -18.121 eV/atom
Space-group type: P4/mmm

Unit cell a=5.1670 b=5.1670 c=4.9866 alpha=90.00 beta=90.00 gamma=90.00
Fractional coordinates of all 5 atoms:
1 Y 0.0000 0.0000 0.0000
2 Rh 0.5000 0.5000 0.5000
3 S 0.0000 0.5000 0.0000
4 S 0.5000 0.0000 0.0000
5 Cl 0.0000 0.0000 0.5000



Entry 18:
A PBEsol-optimized structure of ZrRhS2Cl, computed with SCAN.

Output
Energy relative to the elements, uncorrected: -36.8 kJ/mol of atoms
Raw total energy: -18.722 eV/atom
Space-group type: P4/mmm

Unit cell a=4.9079 b=4.9079 c=4.8159 alpha=90.00 beta=90.00 gamma=90.00
Fractional coordinates of all 5 atoms:
1 Zr 0.0000 0.0000 0.0000
2 Rh 0.5000 0.5000 0.5000
3 S 0.0000 0.5000 0.0000
4 S 0.5000 0.0000 0.0000
5 Cl 0.0000 0.0000 0.5000



Entry 19:
A PBEsol-optimized structure of SbRhCl2, computed with SCAN.

Output
Excess energy over the best structure of this formula in the dataset: 362 meV per atom
Energy relative to the elements, uncorrected: 14.9 kJ/mol of atoms
Raw total energy: -21.593 eV/atom
Space-group type: Pmmm

Unit cell a=3.0934 b=4.4598 c=5.2579 alpha=90.00 beta=90.00 gamma=90.00
Fractional coordinates of all 4 atoms:
1 Sb 0.0000 0.0000 0.0000
2 Rh 0.5000 0.0000 0.5000
3 Cl 0.0000 0.5000 0.5000
4 Cl 0.5000 0.5000 0.0000



Entry 20:
A PBEsol-optimized structure of SbRhCl, computed with SCAN.

Output
Excess energy over the best structure of this formula in the dataset: 0 meV per atom
Energy relative to the elements, uncorrected: 41.5 kJ/mol of atoms
Raw total energy: -25.907 eV/atom
Space-group type: F-43m

Unit cell a=4.5388 b=4.5388 c=4.5388 alpha=60.00 beta=60.00 gamma=60.00
Fractional coordinates of all 3 atoms:
1 Sb 0.0000 0.0000 0.0000
2 Rh 0.2500 0.2500 0.2500
3 Cl 0.7500 0.7500 0.7500



Entry 21:
A PBEsol-optimized structure of SbRh2Cl, computed with SCAN.

Output
Excess energy over the best structure of this formula in the dataset: 13 meV per atom
Energy relative to the elements, uncorrected: 4.2 kJ/mol of atoms
Raw total energy: -28.152 eV/atom
Space-group type: P4mm

Unit cell a=3.1508 b=3.1508 c=7.2977 alpha=90.00 beta=90.00 gamma=90.00
Fractional coordinates of all 4 atoms:
1 Sb 0.0000 0.0000 0.0000
2 Rh 0.0000 0.0000 0.5912
3 Rh 0.5000 0.5000 0.7840
4 Cl 0.5000 0.5000 0.3800



Entry 22:
A PBEsol-optimized structure of SbRhCl, computed with SCAN.

Output
Excess energy over the best structure of this formula in the dataset: 491 meV per atom
Energy relative to the elements, uncorrected: 88.9 kJ/mol of atoms
Raw total energy: -25.416 eV/atom
Space-group type: F-43m

Unit cell a=4.4182 b=4.4182 c=4.4182 alpha=60.00 beta=60.00 gamma=60.00
Fractional coordinates of all 3 atoms:
1 Sb 0.0000 0.0000 0.0000
2 Rh 0.5000 0.5000 0.5000
3 Cl 0.7500 0.7500 0.7500



Entry 23:
A PBEsol-optimized structure of SbRh2Cl, computed with SCAN.

Output
Excess energy over the best structure of this formula in the dataset: 47 meV per atom
Energy relative to the elements, uncorrected: 7.4 kJ/mol of atoms
Raw total energy: -28.118 eV/atom
Space-group type: Cm

Unit cell a=5.1291 b=5.1291 c=4.3376 alpha=96.52 beta=96.52 gamma=35.68
Fractional coordinates of all 4 atoms:
1 Sb 0.0000 0.0000 0.0000
2 Rh 0.4600 0.4600 0.4774
3 Rh 0.7214 0.7214 0.1702
4 Cl 0.2391 0.2391 0.6266



Entry 24:
A PBEsol-optimized structure of SbRh2Cl, computed with SCAN.

Output
Excess energy over the best structure of this formula in the dataset: 0 meV per atom
Energy relative to the elements, uncorrected: 2.9 kJ/mol of atoms
Raw total energy: -28.165 eV/atom
Space-group type: Imm2

Unit cell a=6.2928 b=6.2928 c=6.2928 alpha=152.88 beta=143.19 gamma=46.31
Fractional coordinates of all 4 atoms:
1 Sb 0.0000 0.0000 0.0000
2 Rh 0.5916 0.5916 0.0000
3 Rh 0.8025 0.3025 0.5000
4 Cl 0.2795 0.7795 0.5000



Entry 25:
A PBEsol-optimized structure of SbRh2Cl, computed with SCAN.

Output
Excess energy over the best structure of this formula in the dataset: 375 meV per atom
Energy relative to the elements, uncorrected: 39.1 kJ/mol of atoms
Raw total energy: -27.790 eV/atom
Space-group type: F-43m

Unit cell a=4.5340 b=4.5340 c=4.5340 alpha=60.00 beta=60.00 gamma=60.00
Fractional coordinates of all 4 atoms:
1 Sb 0.0000 0.0000 0.0000
2 Rh 0.5000 0.5000 0.5000
3 Rh 0.7500 0.7500 0.7500
4 Cl 0.2500 0.2500 0.2500



Entry 26:
A PBEsol-optimized structure of SbRhCl2, computed with SCAN.

Output
Excess energy over the best structure of this formula in the dataset: 623 meV per atom
Energy relative to the elements, uncorrected: 40.0 kJ/mol of atoms
Raw total energy: -21.332 eV/atom
Space-group type: P4/mmm

Unit cell a=4.2248 b=4.2248 c=4.1784 alpha=90.00 beta=90.00 gamma=90.00
Fractional coordinates of all 4 atoms:
1 Sb 0.0000 0.0000 0.0000
2 Rh 0.5000 0.5000 0.0000
3 Cl 0.0000 0.5000 0.5000
4 Cl 0.5000 0.0000 0.5000



Entry 27:
A PBEsol-optimized structure of SbRh2Cl, computed with SCAN.

Output
Excess energy over the best structure of this formula in the dataset: 57 meV per atom
Energy relative to the elements, uncorrected: 8.5 kJ/mol of atoms
Raw total energy: -28.107 eV/atom
Space-group type: Fm-3m

Unit cell a=4.4805 b=4.4805 c=4.4805 alpha=60.00 beta=60.00 gamma=60.00
Fractional coordinates of all 4 atoms:
1 Sb 0.0000 0.0000 0.0000
2 Rh 0.2500 0.2500 0.2500
3 Rh 0.7500 0.7500 0.7500
4 Cl 0.5000 0.5000 0.5000



Entry 28:
A PBEsol-optimized structure of SbRhCl2, computed with SCAN.

Output
Excess energy over the best structure of this formula in the dataset: 0 meV per atom
Energy relative to the elements, uncorrected: -20.1 kJ/mol of atoms
Raw total energy: -21.955 eV/atom
Space-group type: C2/m

Unit cell a=6.2691 b=6.2691 c=4.6602 alpha=103.13 beta=103.13 gamma=30.62
Fractional coordinates of all 4 atoms:
1 Sb 0.0000 0.0000 0.0000
2 Rh 0.5000 0.5000 0.5000
3 Cl 0.1571 0.1571 0.6841
4 Cl 0.8429 0.8429 0.3159



Entry 29:
A PBEsol-optimized structure of ScRhCl2, computed with SCAN.

Output
Excess energy over the best structure of this formula in the dataset: 0 meV per atom
Energy relative to the elements, uncorrected: -122.1 kJ/mol of atoms
Raw total energy: -17.257 eV/atom
Space-group type: C2/m

Unit cell a=6.3832 b=6.3832 c=4.1689 alpha=95.91 beta=95.91 gamma=30.49
Fractional coordinates of all 4 atoms:
1 Sc 0.0000 0.0000 0.0000
2 Rh 0.5000 0.5000 0.5000
3 Cl 0.3499 0.3499 0.7865
4 Cl 0.6501 0.6501 0.2135



Entry 30:
A PBEsol-optimized structure of ScRhCl2, computed with SCAN.

Output
Excess energy over the best structure of this formula in the dataset: 536 meV per atom
Energy relative to the elements, uncorrected: -70.4 kJ/mol of atoms
Raw total energy: -16.721 eV/atom
Space-group type: Pmmm

Unit cell a=3.1205 b=4.0214 c=5.2682 alpha=90.00 beta=90.00 gamma=90.00
Fractional coordinates of all 4 atoms:
1 Sc 0.0000 0.0000 0.0000
2 Rh 0.5000 0.0000 0.5000
3 Cl 0.0000 0.5000 0.5000
4 Cl 0.5000 0.5000 0.0000